Entry 1:
{
  "formula": "LiMg2Ag3",
  "functional": "GGA-PBE",
  "state": "relaxed",
  "lattice_angstrom": [[3.3151, 0.0000, 0.0000], [0.0000, 3.3151, 0.0000], [0.0000, 0.0000, 9.6673]],
  "species": ["Mg", "Li", "Ag", "Ag", "Mg", "Ag"],
  "fractional_positions": [[0.5000, 0.5000, 0.1723], [0.5000, 0.5000, 0.5000], [0.0000, 0.0000, 0.0000], [0.0000, 0.0000, 0.6554], [0.5000, 0.5000, 0.8277], [0.0000, 0.0000, 0.3446]],
  "total_magnetization_mub_per_fu": 0.0,
  "crystal_system": "tetragonal",
  "formation_energy_ev_per_fu": -1.3,
  "spacegroup": "P4/mmm"
}

***

Entry 2:
{
  "formula": "Li16Mg6Ag7",
  "functional": "GGA-PBE",
  "state": "relaxed",
  "lattice_angstrom": [[7.8409, 0.0000, 4.5269], [2.6136, 7.3925, 4.5269], [0.0000, 0.0000, 9.0539]],
  "species": ["Mg", "Li", "Li", "Ag", "Li", "Li", "Li", "Ag", "Mg", "Ag", "Li", "Ag", "Li", "Li", "Mg", "Li", "Li", "Li", "Mg", "Li", "Ag", "Li", "Ag", "Mg", "Ag", "Li", "Li", "Li", "Mg"],
  "fractional_positions": [[0.3053, 0.6947, 0.6947], [0.8809, 0.8809, 0.3572], [0.1191, 0.6428, 0.1191], [0.0000, 0.5000, 0.5000], [0.1191, 0.1191, 0.6428], [0.6428, 0.1191, 0.1191], [0.1191, 0.1191, 0.1191], [0.0000, 0.0000, 0.0000], [0.6947, 0.3053, 0.6947], [0.5000, 0.5000, 0.0000], [0.3357, 0.3357, 0.9929], [0.5000, 0.0000, 0.0000], [0.6643, 0.0071, 0.6643], [0.3357, 0.3357, 0.3357], [0.3053, 0.3053, 0.6947], [0.3357, 0.9929, 0.3357], [0.6643, 0.6643, 0.0071], [0.0071, 0.6643, 0.6643], [0.3053, 0.6947, 0.3053], [0.8809, 0.8809, 0.8809], [0.0000, 0.5000, 0.0000], [0.6643, 0.6643, 0.6643], [0.5000, 0.0000, 0.5000], [0.6947, 0.3053, 0.3053], [0.0000, 0.0000, 0.5000], [0.9929, 0.3357, 0.3357], [0.3572, 0.8809, 0.8809], [0.8809, 0.3572, 0.8809], [0.6947, 0.6947, 0.3053]],
  "total_magnetization_mub_per_fu": 0.0,
  "crystal_system": "cubic",
  "formation_energy_ev_per_fu": -3.7,
  "spacegroup": "Fm-3m"
}

***

Entry 3:
{
  "formula": "Li12MgAg6",
  "functional": "GGA-PBE",
  "state": "relaxed",
  "lattice_angstrom": [[-7.0245, 0.6765, 0.6134], [1.4072, -5.2117, -5.4052], [-2.8649, -6.8040, 1.9635]],
  "species": ["Li", "Li", "Li", "Ag", "Li", "Li", "Ag", "Ag", "Ag", "Ag", "Ag", "Li", "Li", "Mg", "Li", "Li", "Li", "Li", "Li"],
  "fractional_positions": [[0.8810, 0.6212, 0.9361], [0.2088, 0.7189, 0.1221], [0.5101, 0.8410, 0.2811], [0.5550, 0.5142, 0.7884], [0.1829, 0.0639, 0.5573], [0.7403, 0.5573, 0.3788], [0.9592, 0.3026, 0.4858], [0.6566, 0.2116, 0.3026], [0.3434, 0.7884, 0.6974], [0.0408, 0.6974, 0.5142], [0.4450, 0.4858, 0.2116], [0.7912, 0.2811, 0.8779], [0.6690, 0.8779, 0.8410], [0.0000, 0.0000, 0.0000], [0.4899, 0.1590, 0.7189], [0.8171, 0.9361, 0.4427], [0.3310, 0.1221, 0.1590], [0.2597, 0.4427, 0.6212], [0.1190, 0.3788, 0.0639]],
  "total_magnetization_mub_per_fu": 0.0,
  "crystal_system": "trigonal",
  "formation_energy_ev_per_fu": -2.9,
  "spacegroup": "R-3"
}

***

Entry 4:
{
  "formula": "Li8Mg3Ag2",
  "functional": "GGA-PBE",
  "state": "relaxed",
  "lattice_angstrom": [[-5.0378, 0.0764, 1.4117], [-2.1581, -4.2161, 2.2237], [0.3420, 2.2712, 10.7942]],
  "species": ["Ag", "Li", "Mg", "Mg", "Li", "Li", "Mg", "Li", "Li", "Li", "Li", "Li", "Ag"],
  "fractional_positions": [[0.6376, 0.6376, 0.0873], [0.7680, 0.2641, 0.7038], [0.8180, 0.8180, 0.5461], [0.1820, 0.1820, 0.4539], [0.7188, 0.7188, 0.8436], [0.2641, 0.2641, 0.7038], [0.0000, 0.0000, 0.0000], [0.2812, 0.2812, 0.1564], [0.7359, 0.2320, 0.2962], [0.7359, 0.7359, 0.2962], [0.2641, 0.7680, 0.7038], [0.2320, 0.7359, 0.2962], [0.3624, 0.3624, 0.9127]],
  "total_magnetization_mub_per_fu": 0.0,
  "crystal_system": "trigonal",
  "formation_energy_ev_per_fu": 0.1,
  "spacegroup": "R-3m"
}

***

Repeat the second record exactly.
{
  "formula": "Li16Mg6Ag7",
  "functional": "GGA-PBE",
  "state": "relaxed",
  "lattice_angstrom": [[7.8409, 0.0000, 4.5269], [2.6136, 7.3925, 4.5269], [0.0000, 0.0000, 9.0539]],
  "species": ["Mg", "Li", "Li", "Ag", "Li", "Li", "Li", "Ag", "Mg", "Ag", "Li", "Ag", "Li", "Li", "Mg", "Li", "Li", "Li", "Mg", "Li", "Ag", "Li", "Ag", "Mg", "Ag", "Li", "Li", "Li", "Mg"],
  "fractional_positions": [[0.3053, 0.6947, 0.6947], [0.8809, 0.8809, 0.3572], [0.1191, 0.6428, 0.1191], [0.0000, 0.5000, 0.5000], [0.1191, 0.1191, 0.6428], [0.6428, 0.1191, 0.1191], [0.1191, 0.1191, 0.1191], [0.0000, 0.0000, 0.0000], [0.6947, 0.3053, 0.6947], [0.5000, 0.5000, 0.0000], [0.3357, 0.3357, 0.9929], [0.5000, 0.0000, 0.0000], [0.6643, 0.0071, 0.6643], [0.3357, 0.3357, 0.3357], [0.3053, 0.3053, 0.6947], [0.3357, 0.9929, 0.3357], [0.6643, 0.6643, 0.0071], [0.0071, 0.6643, 0.6643], [0.3053, 0.6947, 0.3053], [0.8809, 0.8809, 0.8809], [0.0000, 0.5000, 0.0000], [0.6643, 0.6643, 0.6643], [0.5000, 0.0000, 0.5000], [0.6947, 0.3053, 0.3053], [0.0000, 0.0000, 0.5000], [0.9929, 0.3357, 0.3357], [0.3572, 0.8809, 0.8809], [0.8809, 0.3572, 0.8809], [0.6947, 0.6947, 0.3053]],
  "total_magnetization_mub_per_fu": 0.0,
  "crystal_system": "cubic",
  "formation_energy_ev_per_fu": -3.7,
  "spacegroup": "Fm-3m"
}